# 1
# GGA-PBEsol InFeBi2Ir, relaxed
data_InFeBi2Ir
_chemical_formula_sum 'In1 Fe1 Bi2 Ir1'
_symmetry_space_group_name_H-M 'P 1'
_symmetry_Int_Tables_number 1
_symmetry_space_group_name_Hall 'P 1'
_cell_length_a 4.649
_cell_length_b 5.435
_cell_length_c 5.435
_cell_angle_alpha 90.00
_cell_angle_beta 90.00
_cell_angle_gamma 90.00
loop_
_atom_site_label
_atom_site_type_symbol
_atom_site_fract_x
_atom_site_fract_y
_atom_site_fract_z
_atom_site_occupancy
Bi1 Bi 0.000 0.500 0.000 1
Bi2 Bi 0.000 0.000 0.500 1
In1 In 0.000 0.000 0.000 1
Ir1 Ir 0.500 0.500 0.500 1
Fe1 Fe 0.500 0.000 0.000 1
# formation energy from the elements	9.14	eV per formula unit
# magnetic moment	0.58	μB/atom
# crystal system	tetragonal

=====

# 2
# GGA-PBEsol InNi6Au, relaxed
data_InNi6Au
_chemical_formula_sum 'In4 Ni24 Au4'
_symmetry_space_group_name_H-M 'P 1'
_symmetry_Int_Tables_number 1
_symmetry_space_group_name_Hall 'P 1'
_cell_length_a 6.332
_cell_length_b 6.332
_cell_length_c 10.341
_cell_angle_alpha 90.00
_cell_angle_beta 90.00
_cell_angle_gamma 109.59
loop_
_atom_site_label
_atom_site_type_symbol
_atom_site_fract_x
_atom_site_fract_y
_atom_site_fract_z
_atom_site_occupancy
Ni1 Ni 0.122 0.373 0.624 1
Ni2 Ni 0.877 0.628 0.126 1
Ni3 Ni 0.249 0.751 0.748 1
Ni4 Ni 0.372 0.123 0.874 1
Ni5 Ni 0.627 0.878 0.624 1
Ni6 Ni 0.877 0.628 0.874 1
Ni7 Ni 0.123 0.372 0.874 1
Ni8 Ni 0.628 0.877 0.126 1
Ni9 Ni 0.000 0.000 0.000 1
Ni10 Ni 0.751 0.249 0.748 1
Ni11 Ni 0.628 0.877 0.874 1
Ni12 Ni 0.000 0.000 0.500 1
Ni13 Ni 0.878 0.627 0.624 1
Ni14 Ni 0.372 0.123 0.126 1
Ni15 Ni 0.878 0.627 0.376 1
Ni16 Ni 0.122 0.373 0.376 1
Ni17 Ni 0.627 0.878 0.376 1
Ni18 Ni 0.751 0.249 0.252 1
Ni19 Ni 0.500 0.500 0.500 1
Ni20 Ni 0.373 0.122 0.624 1
Ni21 Ni 0.373 0.122 0.376 1
Ni22 Ni 0.500 0.500 0.000 1
Ni23 Ni 0.123 0.372 0.126 1
Ni24 Ni 0.249 0.751 0.252 1
Au1 Au 0.252 0.748 0.500 1
Au2 Au 0.748 0.252 0.500 1
Au3 Au 0.000 0.000 0.251 1
Au4 Au 0.000 0.000 0.749 1
In1 In 0.748 0.252 0.000 1
In2 In 0.500 0.500 0.749 1
In3 In 0.252 0.748 0.000 1
In4 In 0.500 0.500 0.251 1
# formation energy from the elements	0.09	eV per formula unit
# magnetic moment	0.23	μB/atom
# crystal system	orthorhombic

=====

# 3
# GGA-PBEsol Zr2BeAs, relaxed
data_Zr2BeAs
_chemical_formula_sum 'Zr2 Be1 As1'
_symmetry_space_group_name_H-M 'P 1'
_symmetry_Int_Tables_number 1
_symmetry_space_group_name_Hall 'P 1'
_cell_length_a 3.412
_cell_length_b 3.401
_cell_length_c 5.875
_cell_angle_alpha 90.00
_cell_angle_beta 94.05
_cell_angle_gamma 90.00
loop_
_atom_site_label
_atom_site_type_symbol
_atom_site_fract_x
_atom_site_fract_y
_atom_site_fract_z
_atom_site_occupancy
As1 As 0.500 0.500 0.000 1
Zr1 Zr 0.017 0.000 0.253 1
Zr2 Zr 0.983 0.000 0.747 1
Be1 Be 0.500 0.500 0.500 1
# formation energy from the elements	-1.78	eV per formula unit
# magnetic moment	0.00	μB/atom
# crystal system	monoclinic

=====

# 4
# GGA-PBEsol Li2V3P4O14, relaxed
data_Li2V3P4O14
_chemical_formula_sum 'Li2 V3 P4 O14'
_symmetry_space_group_name_H-M 'P 1'
_symmetry_Int_Tables_number 1
_symmetry_space_group_name_Hall 'P 1'
_cell_length_a 5.438
_cell_length_b 6.891
_cell_length_c 7.306
_cell_angle_alpha 74.44
_cell_angle_beta 83.25
_cell_angle_gamma 67.57
loop_
_atom_site_label
_atom_site_type_symbol
_atom_site_fract_x
_atom_site_fract_y
_atom_site_fract_z
_atom_site_occupancy
O1 O 0.455 0.735 0.549 1
O2 O 0.972 0.056 0.284 1
O3 O 0.262 0.568 0.861 1
O4 O 0.738 0.432 0.139 1
O5 O 0.157 0.244 0.849 1
O6 O 0.545 0.265 0.451 1
O7 O 0.673 0.728 0.852 1
O8 O 0.043 0.654 0.547 1
O9 O 0.636 0.223 0.858 1
O10 O 0.957 0.346 0.453 1
O11 O 0.327 0.272 0.148 1
O12 O 0.843 0.756 0.151 1
O13 O 0.364 0.777 0.142 1
O14 O 0.028 0.944 0.716 1
P1 P 0.348 0.314 0.934 1
P2 P 0.806 0.262 0.345 1
P3 P 0.652 0.686 0.066 1
P4 P 0.194 0.738 0.655 1
V1 V 0.194 0.514 0.313 1
V2 V 0.000 0.000 0.000 1
V3 V 0.806 0.486 0.687 1
Li1 Li 0.363 0.973 0.310 1
Li2 Li 0.637 0.027 0.690 1
# formation energy from raw total energies	-2.0847	eV per atom
# magnetic moment	0.39	μB/atom
# crystal system	triclinic

=====

# 5
# GGA-PBEsol Li7Mn2Co3O12, relaxed
data_Li7Mn2Co3O12
_chemical_formula_sum 'Li7 Mn2 Co3 O12'
_symmetry_space_group_name_H-M 'P 1'
_symmetry_Int_Tables_number 1
_symmetry_space_group_name_Hall 'P 1'
_cell_length_a 2.815
_cell_length_b 7.963
_cell_length_c 9.438
_cell_angle_alpha 114.23
_cell_angle_beta 90.00
_cell_angle_gamma 90.00
loop_
_atom_site_label
_atom_site_type_symbol
_atom_site_fract_x
_atom_site_fract_y
_atom_site_fract_z
_atom_site_occupancy
O1 O 0.500 0.069 0.152 1
O2 O 0.500 0.263 0.497 1
O3 O 0.000 0.088 0.686 1
O4 O 0.500 0.928 0.849 1
O5 O 0.000 0.765 0.014 1
O6 O 0.500 0.400 0.841 1
O7 O 0.000 0.439 0.350 1
O8 O 0.000 0.575 0.647 1
O9 O 0.500 0.732 0.482 1
O10 O 0.500 0.607 0.186 1
O11 O 0.000 0.897 0.315 1
O12 O 0.000 0.231 0.991 1
Li1 Li 0.500 0.344 0.179 1
Li2 Li 0.000 0.824 0.656 1
Li3 Li 0.000 0.179 0.349 1
Li4 Li 0.000 0.331 0.656 1
Li5 Li 0.500 0.022 0.503 1
Li6 Li 0.500 0.634 0.813 1
Li7 Li 0.000 0.501 0.998 1
Mn1 Mn 0.000 0.994 0.000 1
Mn2 Mn 0.500 0.174 0.831 1
Co1 Co 0.500 0.835 0.168 1
Co2 Co 0.000 0.669 0.335 1
Co3 Co 0.500 0.497 0.503 1
# formation energy from raw total energies	-1.7025	eV per atom
# magnetic moment	0.25	μB/atom
# crystal system	monoclinic

=====

# 6
# GGA-PBEsol Rb3HgO, relaxed
data_Rb3HgO
_chemical_formula_sum 'Rb3 Hg1 O1'
_symmetry_space_group_name_H-M 'P 1'
_symmetry_Int_Tables_number 1
_symmetry_space_group_name_Hall 'P 1'
_cell_length_a 5.590
_cell_length_b 5.590
_cell_length_c 5.590
_cell_angle_alpha 90.00
_cell_angle_beta 90.00
_cell_angle_gamma 90.00
loop_
_atom_site_label
_atom_site_type_symbol
_atom_site_fract_x
_atom_site_fract_y
_atom_site_fract_z
_atom_site_occupancy
Rb1 Rb 0.500 0.000 0.000 1
Rb2 Rb 0.000 0.000 0.500 1
Rb3 Rb 0.000 0.500 0.000 1
O1 O 0.000 0.000 0.000 1
Hg1 Hg 0.500 0.500 0.500 1
# formation energy from raw total energies	-0.5606	eV per atom
# magnetic moment	0.00	μB/atom
# crystal system	cubic

=====

# 7
# GGA-PBEsol YPbS2N, relaxed
data_YPbS2N
_chemical_formula_sum 'Y1 Pb1 S2 N1'
_symmetry_space_group_name_H-M 'P 1'
_symmetry_Int_Tables_number 1
_symmetry_space_group_name_Hall 'P 1'
_cell_length_a 4.116
_cell_length_b 5.083
_cell_length_c 5.083
_cell_angle_alpha 90.00
_cell_angle_beta 90.00
_cell_angle_gamma 90.00
loop_
_atom_site_label
_atom_site_type_symbol
_atom_site_fract_x
_atom_site_fract_y
_atom_site_fract_z
_atom_site_occupancy
Pb1 Pb 0.000 0.000 0.000 1
S1 S 0.000 0.000 0.500 1
S2 S 0.000 0.500 0.000 1
Y1 Y 0.500 0.500 0.500 1
N1 N 0.500 0.000 0.000 1
# formation energy from raw total energies	0.1184	eV per atom
# magnetic moment	0.00	μB/atom
# crystal system	tetragonal

=====

# 8
# GGA-PBEsol FeCS2, relaxed
data_FeCS2
_chemical_formula_sum 'Fe1 C1 S2'
_symmetry_space_group_name_H-M 'P 1'
_symmetry_Int_Tables_number 1
_symmetry_space_group_name_Hall 'P 1'
_cell_length_a 2.907
_cell_length_b 2.907
_cell_length_c 6.741
_cell_angle_alpha 77.55
_cell_angle_beta 77.55
_cell_angle_gamma 60.00
loop_
_atom_site_label
_atom_site_type_symbol
_atom_site_fract_x
_atom_site_fract_y
_atom_site_fract_z
_atom_site_occupancy
C1 C 0.500 0.500 0.500 1
S1 S 0.105 0.105 0.686 1
S2 S 0.895 0.895 0.314 1
Fe1 Fe 0.000 0.000 0.000 1
# formation energy from raw total energies	1.0737	eV per atom
# magnetic moment	0.33	μB/atom
# crystal system	trigonal

=====

# 9
# GGA-PBEsol RbCa2InH, relaxed
data_RbCa2InH
_chemical_formula_sum 'Rb1 Ca2 In1 H1'
_symmetry_space_group_name_H-M 'P 1'
_symmetry_Int_Tables_number 1
_symmetry_space_group_name_Hall 'P 1'
_cell_length_a 5.432
_cell_length_b 5.432
_cell_length_c 4.766
_cell_angle_alpha 90.00
_cell_angle_beta 90.00
_cell_angle_gamma 90.00
loop_
_atom_site_label
_atom_site_type_symbol
_atom_site_fract_x
_atom_site_fract_y
_atom_site_fract_z
_atom_site_occupancy
Rb1 Rb 0.500 0.500 0.500 1
Ca1 Ca 0.500 0.000 0.000 1
Ca2 Ca 0.000 0.500 0.000 1
In1 In 0.000 0.000 0.500 1
H1 H 0.000 0.000 0.000 1
# E_tot	-2.2247	eV/atom
# magnetic moment	0.19	μB/atom
# crystal system	tetragonal

=====

# 10
# GGA-PBEsol Bi2Te2I, relaxed
data_Bi2Te2I
_chemical_formula_sum 'Bi4 Te4 I2'
_symmetry_space_group_name_H-M 'P 1'
_symmetry_Int_Tables_number 1
_symmetry_space_group_name_Hall 'P 1'
_cell_length_a 3.883
_cell_length_b 8.959
_cell_length_c 8.959
_cell_angle_alpha 90.00
_cell_angle_beta 90.00
_cell_angle_gamma 90.00
loop_
_atom_site_label
_atom_site_type_symbol
_atom_site_fract_x
_atom_site_fract_y
_atom_site_fract_z
_atom_site_occupancy
Te1 Te 0.000 0.853 0.647 1
Te2 Te 0.000 0.147 0.353 1
Te3 Te 0.000 0.353 0.853 1
Te4 Te 0.000 0.647 0.147 1
Bi1 Bi 0.500 0.142 0.642 1
Bi2 Bi 0.500 0.858 0.358 1
Bi3 Bi 0.500 0.642 0.858 1
Bi4 Bi 0.500 0.358 0.142 1
I1 I 0.000 0.500 0.500 1
I2 I 0.000 0.000 0.000 1
# formation energy from raw total energies	0.0223	eV per atom
# magnetic moment	0.00	μB/atom
# crystal system	tetragonal

=====

# 11
# GGA-PBEsol K2RbScZn, relaxed
data_K2RbScZn
_chemical_formula_sum 'K2 Rb1 Sc1 Zn1'
_symmetry_space_group_name_H-M 'P 1'
_symmetry_Int_Tables_number 1
_symmetry_space_group_name_Hall 'P 1'
_cell_length_a 7.032
_cell_length_b 7.032
_cell_length_c 7.158
_cell_angle_alpha 90.00
_cell_angle_beta 90.00
_cell_angle_gamma 90.00
loop_
_atom_site_label
_atom_site_type_symbol
_atom_site_fract_x
_atom_site_fract_y
_atom_site_fract_z
_atom_site_occupancy
Zn1 Zn 0.500 0.500 0.500 1
K1 K 0.500 0.000 0.000 1
K2 K 0.000 0.500 0.000 1
Rb1 Rb 0.000 0.000 0.500 1
Sc1 Sc 0.000 0.000 0.000 1
# formation energy from the elements	5.10	eV per formula unit
# magnetic moment	0.69	μB/atom
# crystal system	tetragonal

=====

# 12
# GGA-PBEsol CrRuI3, relaxed
data_CrRuI3
_chemical_formula_sum 'Cr1 Ru1 I3'
_symmetry_space_group_name_H-M 'P 1'
_symmetry_Int_Tables_number 1
_symmetry_space_group_name_Hall 'P 1'
_cell_length_a 5.388
_cell_length_b 5.388
_cell_length_c 5.388
_cell_angle_alpha 90.00
_cell_angle_beta 90.00
_cell_angle_gamma 90.00
loop_
_atom_site_label
_atom_site_type_symbol
_atom_site_fract_x
_atom_site_fract_y
_atom_site_fract_z
_atom_site_occupancy
I1 I 0.500 0.000 0.000 1
I2 I 0.000 0.000 0.500 1
I3 I 0.000 0.500 0.000 1
Ru1 Ru 0.500 0.500 0.500 1
Cr1 Cr 0.000 0.000 0.000 1
# formation energy from raw total energies	1.0614	eV per atom
# magnetic moment	1.44	μB/atom
# crystal system	cubic